Na2AlTl, relaxed, DFT PBE-GGA; ΔH_f (0 K) = 0.1014 eV per atom; space-group type = P4/mmm (123); DFT total energy = -2.09 eV per atom
1.0
3.195 0.000 0.000
0.000 3.195 0.000
0.000 0.000 10.135
Na Al Tl
2 1 1
direct
0.000 0.000 0.235 Na
0.000 0.000 0.765 Na
0.500 0.500 0.000 Al
0.500 0.500 0.500 Tl

BaTl4Au2, relaxed, DFT PBE-GGA; ΔH_f (0 K) = -0.2846 eV per atom; space-group type = Cmmm (65); DFT total energy = -2.85 eV per atom
1.0
2.340 -9.223 0.000
2.340 9.223 0.000
0.000 0.000 4.797
Ba Tl Au
1 4 2
direct
0.000 0.000 0.000 Ba
0.181 0.819 0.500 Tl
0.319 0.681 0.000 Tl
0.681 0.319 0.000 Tl
0.819 0.181 0.500 Tl
0.426 0.574 0.500 Au
0.574 0.426 0.500 Au

MgAg3, relaxed, DFT PBE-GGA; ΔH_f (0 K) = -0.0301 eV per atom; space-group type = P-6m2 (187); DFT total energy = -2.57 eV per atom
1.0
3.012 0.000 0.000
-1.506 2.609 0.000
0.000 0.000 9.363
Mg Ag
1 3
direct
0.000 0.000 0.000 Mg
0.000 0.000 0.500 Ag
0.667 0.333 0.246 Ag
0.667 0.333 0.754 Ag